1.
Cs2PmV2O6 after structural relaxation. Source: Alexandria via LeMat-Bulk, functional PBE+U.

extended XYZ file:
```
11
Lattice="-6.0586 -0.5782 -1.7707 -3.8685 -3.8983 3.1646 -4.9048 3.2633 4.3718" Properties=species:S:1:pos:R:3 pbc="T T T"
Cs -10.9584 -1.4031 3.9191
Cs -3.8735 0.1899 1.8467
Pm 0.0000 0.0000 0.0000
V -7.8069 0.5586 3.8402
V -7.0249 -1.7718 1.9255
O -8.5537 -2.6445 2.0169
O -5.6568 -2.3680 2.8635
O -6.7040 -0.7806 0.5037
O -8.1279 -0.4327 5.2621
O -9.1751 1.1548 2.9022
O -6.2781 1.4313 3.7489
```

Output
total energy: -74.6 eV/cell
M_tot: 1.00 μB/f.u.
crystal system: trigonal
volume: 20.11 Å³ per atom
SG: R-3m (166)

***

2.
CsPmVO4 after structural relaxation. Source: Alexandria via LeMat-Bulk, functional PBE+U.

extended XYZ file:
```
14
Lattice="6.1054 0.0000 -0.0284 0.0000 6.0793 0.0000 -2.4269 0.0000 7.7112" Properties=species:S:1:pos:R:3 pbc="T T T"
Cs 2.1009 4.5595 7.2062
Cs 1.5776 1.5198 0.4766
Pm 3.8503 4.5595 3.5119
Pm -0.1718 1.5198 4.1709
V 0.8357 4.5595 2.7336
V 2.8428 1.5198 4.9492
O 4.1726 2.8720 5.0706
O -0.4941 5.9117 2.6121
O -0.4941 3.2073 2.6121
O 4.1726 0.1676 5.0706
O 2.2353 4.5595 1.6280
O 1.4432 1.5198 6.0547
O 1.4885 4.5595 4.3514
O 2.1900 1.5198 3.3314
```

Output
total energy: -99.6 eV/cell
M_tot: 1.00 μB/f.u.
crystal system: monoclinic
volume: 20.41 Å³ per atom
SG: P2_1/m (11)

***

3.
Cs2PmWO6 after structural relaxation. Source: Alexandria via LeMat-Bulk, functional PBE+U.

extended XYZ file:
```
10
Lattice="-3.9374 3.6093 -2.8914 -1.9533 -5.2885 -3.9418 -3.2322 1.2366 5.9451" Properties=species:S:1:pos:R:3 pbc="T T T"
Cs -3.2362 -0.5440 2.3336
Cs -5.8867 0.1014 -3.2215
Pm -1.9687 1.8047 -1.4457
W 0.0000 0.0000 0.0000
O -4.2340 2.5226 -1.2863
O -6.2153 3.2806 2.3579
O -7.4126 0.0388 -0.0583
O -2.9076 -3.7232 -3.2459
O -1.7103 -0.4814 -0.8297
O -4.8889 -2.9652 0.3984
```

Output
total energy: -63.9 eV/cell
M_tot: 1.04 μB/f.u.
crystal system: trigonal
volume: 24.89 Å³ per atom
SG: P-3m1 (164)

***

4.
CsPmW2O8 after structural relaxation. Source: Alexandria via LeMat-Bulk, functional PBE+U.

extended XYZ file:
```
12
Lattice="-0.1737 -4.9973 3.6769 -0.9658 -0.6014 -6.1015 8.3061 -1.1711 -1.1993" Properties=species:S:1:pos:R:3 pbc="T T T"
Cs 0.0000 0.0000 0.0000
Pm 4.1531 -0.5855 -0.5996
W 1.7414 -3.8392 0.1028
W 5.4253 -2.9305 -3.7267
O 7.1678 -3.1762 -3.9783
O 2.5254 -2.2124 -0.1859
O 2.4428 -4.6249 1.5979
O -0.0011 -3.5936 0.3544
O 4.7239 -2.1449 -5.2218
O 4.6413 -4.5574 -3.4381
O 5.1918 -1.8470 -2.2721
O 1.9749 -4.9227 -1.3519
```

Output
total energy: -88.1 eV/cell
M_tot: 0.00 μB/f.u.
crystal system: trigonal
volume: 23.56 Å³ per atom
SG: P-3m1 (164)